Below is a geometry-optimized YMg2Br structure, with properties calculated at the PBEsol level.

a b c (Å): 5.862 5.862 3.464
angles (deg): 90.00 90.00 119.94
Sites, in units of the cell vectors:
Y: 0.000 0.000 0.000
Mg: 0.000 0.500 0.500
Mg: 0.500 0.000 0.500
Br: 0.500 0.500 0.000

Formation energy (no corrections) (meV/atom): -329.0
DFT total energy (Ry/atom): -0.247
Symmetry: Cmmm (65)